Here is an optimized crystal structure of KNaReCl6 from Alexandria via LeMat-Bulk. Energies are from PBE.

Computed properties:
VASP energy   -73.6 eV per cell
Uncorrected formation energy   -1.209 eV/atom

Lattice parameters (Å, degrees): 6.9412 6.9412 13.1587 90.00 90.00 120.00
Last column: nearest neighbours and their distance in Å.
Space group P-31c (No. 163)
Unique sites:
K: 0.0000 0.0000 0.0000  6 Cl 3.20
Na: 0.3333 0.6667 0.2500  6 Cl 2.83
Re: 0.3333 0.6667 0.7500  6 Cl 2.38
Cl: 0.0487 0.3927 0.6450  1 Re 2.38

***

Here is an optimized crystal structure of KNa2RhCl6 from Alexandria via LeMat-Bulk. Energies are from PBE.

Computed properties:
VASP energy   -35.5 eV per cell
Uncorrected formation energy   -1.331 eV/atom

Lattice parameters (Å, degrees): 6.9751 6.9802 7.4384 90.05 117.94 119.96
Last column: nearest neighbours and their distance in Å.
Space group P1 (No. 1)
Unique sites:
K: 0.0000 0.0000 0.0000  6 Cl 3.01-3.25
Na: 0.5738 0.2872 0.8604  6 Cl 2.82-2.95
Na: 0.6098 0.8055 0.4145  6 Cl 2.76-2.94
Rh: 0.9667 0.4836 0.4499  6 Cl 2.36-2.40
Cl: 0.0947 0.4275 0.2221  1 Rh 2.36
Cl: 0.1035 0.2675 0.6648  1 Rh 2.40
Cl: 0.3975 0.8366 0.6648  1 Rh 2.40
Cl: 0.5552 0.1282 0.2218  1 Rh 2.36
Cl: 0.7949 0.6672 0.2219  1 Rh 2.36
Cl: 0.8280 0.5615 0.6645  1 Rh 2.40

***

Here is an optimized crystal structure of K2NaRhCl6 from Alexandria via LeMat-Bulk. Energies are from PBE.

Computed properties:
VASP energy   -142.7 eV per cell
Uncorrected formation energy   -1.374 eV/atom

Lattice parameters (Å, degrees): 10.1735 10.1735 10.1735 90.00 90.00 90.00
Last column: nearest neighbours and their distance in Å.
Space group Fm-3m (No. 225)
Unique sites:
K: 0.2500 0.2500 0.2500  12 Cl 3.60
Na: 0.0000 0.0000 0.0000  6 Cl 2.72
Rh: 0.0000 0.0000 0.5000  6 Cl 2.36
Cl: 0.0000 0.0000 0.2677  1 Rh 2.36